1.
! NaY3 (PBE, optimized geometry); values from VASP
&SYSTEM
  ibrav = 0, nat = 4, ntyp = 2
/
ATOMIC_SPECIES
Na 22.99 Na.upf
Y 88.91 Y.upf
ATOMIC_POSITIONS crystal
Na 0.000 0.000 0.000
Y 0.123 0.377 0.746
Y 0.491 0.991 0.500
Y 0.631 0.377 0.254
CELL_PARAMETERS angstrom
-1.826 5.838 3.017
1.826 -5.838 3.017
1.826 5.838 -3.017
! - Mass density: 3.739 Mg/m³
! - Total magnetization: 0.000 μB/cell
! - D(E_F): 5.20 states/eV per cell

---

2.
! NaY3 (PBE, optimized geometry); values from VASP
&SYSTEM
  ibrav = 0, nat = 4, ntyp = 2
/
ATOMIC_SPECIES
Na 22.99 Na.upf
Y 88.91 Y.upf
ATOMIC_POSITIONS crystal
Na 0.000 0.000 0.000
Y 0.250 0.250 0.250
Y 0.500 0.500 0.500
Y 0.750 0.750 0.750
CELL_PARAMETERS angstrom
0.000 4.010 4.010
4.010 0.000 4.010
4.010 4.010 0.000
! - Mass density: 3.732 Mg/m³
! - Total magnetization: 0.000 μB/cell
! - D(E_F): 5.02 states/eV per cell

---

The computed energies, referenced to the most stable structure and given in kJ/mol of atoms, are 1 0.0; 2 9.8.

---

1.
! Na2Y (PBE, optimized geometry); values from VASP
&SYSTEM
  ibrav = 0, nat = 6, ntyp = 2
/
ATOMIC_SPECIES
Na 22.99 Na.upf
Y 88.91 Y.upf
ATOMIC_POSITIONS crystal
Na 0.000 0.000 0.000
Na 0.000 0.000 0.500
Na 0.000 0.500 0.000
Na 0.500 0.000 0.000
Y 0.375 0.375 0.375
Y 0.625 0.625 0.625
CELL_PARAMETERS angstrom
0.000 4.592 4.592
4.592 0.000 4.592
4.592 4.592 0.000
! - Mass density: 2.313 Mg/m³
! - Total magnetization: 0.000 μB/cell
! - D(E_F): 4.30 states/eV per cell

---

2.
! Na2Y (PBE, optimized geometry); values from VASP
&SYSTEM
  ibrav = 0, nat = 3, ntyp = 2
/
ATOMIC_SPECIES
Na 22.99 Na.upf
Y 88.91 Y.upf
ATOMIC_POSITIONS crystal
Na 0.000 0.000 0.000
Na 0.149 0.499 0.654
Y 0.579 0.750 0.327
CELL_PARAMETERS angstrom
3.495 0.000 0.000
-1.581 3.117 0.000
-1.661 -1.082 9.353
! - Mass density: 2.199 Mg/m³
! - Total magnetization: 0.000 μB/cell
! - D(E_F): 2.69 states/eV per cell

---

The computed energies, referenced to the most stable structure and given in kJ/mol of atoms, are 1 13.9; 2 0.0.